This record from the Alexandria database describes a geometry-optimized YP2Pt structure. The functional is PBE-GGA.

Structure (CIF):
```
data_YP2Pt
_space_group_name_H-M_alt 'P 1'
_space_group_IT_number 1
_space_group_name_Hall 'P 1'
_cell_length_a 4.435
_cell_length_b 4.022
_cell_length_c 4.435
_cell_angle_alpha 87.54
_cell_angle_beta 90.00
_cell_angle_gamma 90.00
loop_
_atom_site_label
_atom_site_fract_x
_atom_site_fract_y
_atom_site_fract_z
P1 0.000 0.131 0.989
P2 0.500 0.287 0.257
Pt1 0.000 0.315 0.492
Y1 0.500 0.768 0.762
```

Calculated values
Polymorph energy (0 for the lowest one): 276.8 meV/atom


This record from the Alexandria database describes a geometry-optimized YPPt4 structure. The functional is PBE-GGA.

Structure (CIF):
```
data_YPPt4
_space_group_name_H-M_alt 'P 1'
_space_group_IT_number 1
_space_group_name_Hall 'P 1'
_cell_length_a 5.348
_cell_length_b 5.348
_cell_length_c 5.348
_cell_angle_alpha 60.00
_cell_angle_beta 60.00
_cell_angle_gamma 60.00
loop_
_atom_site_label
_atom_site_fract_x
_atom_site_fract_y
_atom_site_fract_z
Y1 0.750 0.750 0.750
P1 0.000 0.000 0.000
Pt1 0.876 0.375 0.375
Pt2 0.375 0.375 0.876
Pt3 0.375 0.876 0.375
Pt4 0.375 0.375 0.375
```

Calculated values
Polymorph energy (0 for the lowest one): 362.1 meV/atom


This record from the Alexandria database describes a geometry-optimized YPPt2 structure. The functional is PBE-GGA.

Structure (CIF):
```
data_YPPt2
_space_group_name_H-M_alt 'P 1'
_space_group_IT_number 1
_space_group_name_Hall 'P 1'
_cell_length_a 5.080
_cell_length_b 5.080
_cell_length_c 5.080
_cell_angle_alpha 137.37
_cell_angle_beta 122.48
_cell_angle_gamma 74.17
loop_
_atom_site_label
_atom_site_fract_x
_atom_site_fract_y
_atom_site_fract_z
Y1 0.472 0.472 0.000
P1 0.211 0.711 0.500
Pt1 0.044 0.044 0.000
Pt2 0.772 0.272 0.500
```


DOS at the Fermi energy per entry: 1.0 3.4 1.6 states/eV per cell
Calculated total energy per entry: -26.5 -38.7 -27.4 eV for the cell shown